Entry from the Alexandria database: a relaxed LiPaCrO4 crystal (GGA+U).

POSCAR file:
```
LiPaCrO4
1.0
-3.0226 3.5022 4.7458
3.0226 -3.5022 4.7458
3.0226 3.5022 -4.7458
Li Pa Cr O
2 2 2 8
direct
0.3898 0.1398 0.2500
0.6102 0.8602 0.7500
0.0000 0.5000 0.5000
0.5000 0.5000 0.0000
0.0000 0.0000 0.5000
0.0000 0.5000 0.0000
0.1779 0.7253 0.4526
0.2272 0.2747 0.9526
0.2724 0.2992 0.5268
0.2724 0.7456 0.9732
0.7276 0.2544 0.0268
0.7276 0.7008 0.4732
0.7728 0.7253 0.0474
0.8221 0.2747 0.5474
```

The symmetry is Imma (74). For the density, the calculation gives 5.850 g/cm³. For the raw total energy, the calculation gives -8.18 eV/atom. The total magnetization comes out at 4.0 μB per formula unit.